# GGA+U CaCo6O2F10, relaxed
data_CaCo6O2F10
_chemical_formula_sum 'Ca2 Co12 O4 F20'
_symmetry_space_group_name_H-M 'C 1 m 1'
_symmetry_Int_Tables_number 8
_cell_length_a 6.271
_cell_length_b 6.906
_cell_length_c 12.559
_cell_angle_alpha 90.00
_cell_angle_beta 97.55
_cell_angle_gamma 90.00
loop_
_symmetry_equiv_pos_as_xyz
'x,y,z'
'x,-y,z'
'x+1/2,y+1/2,z'
'x+1/2,-y+1/2,z'
loop_
_atom_site_label
_atom_site_fract_x
_atom_site_fract_y
_atom_site_fract_z
Ca1 0.000 0.000 0.000
Co1 0.248 0.500 0.474
Co2 0.264 0.000 0.349
Co3 0.300 0.500 0.232
Co4 0.317 0.000 0.602
Co5 0.434 0.500 0.715
Co6 0.439 0.000 0.875
O1 0.237 0.000 0.748
O2 0.453 0.000 0.476
F1 0.052 0.000 0.465
F2 0.099 0.000 0.193
F3 0.196 0.500 0.084
F4 0.218 0.300 0.328
F5 0.248 0.500 0.836
F6 0.308 0.306 0.609
F7 0.321 0.194 0.969
# - E: -5.21 eV/atom
# - Energy above the most stable polymorph in this dataset: 59.9 meV/atom